# K3Th2Te6Au (PBE-GGA, optimized geometry)
# **Raw formation energy**: -1002 meV per atom
data_K3Th2Te6Au
_chemical_formula_sum 'K6 Th4 Te12 Au2'
_space_group_name_H-M_alt 'C 1 2/m 1'
_space_group_IT_number 12
_space_group_name_Hall '-C 2y'
_cell_length_a 8.0782
_cell_length_b 13.4416
_cell_length_c 8.6701
_cell_angle_alpha 90.00
_cell_angle_beta 108.37
_cell_angle_gamma 90.00
loop_
_atom_site_label
_atom_site_fract_x
_atom_site_fract_y
_atom_site_fract_z
_atom_site_occupancy
K1 0.0000 0.0000 0.0000 1
K2 0.0000 0.3343 0.0000 1
Th1 0.0000 0.1680 0.5000 1
Te1 0.2218 0.0000 0.7192 1
Te2 0.2357 0.3379 0.7048 1
Au1 0.0000 0.5000 0.5000 1


# K2TiTe4Au (PBE-GGA, optimized geometry)
# **D(E_F)**: 54.7 states/eV/cell
# **Raw formation energy**: -673 meV per atom
data_K2TiTe4Au
_chemical_formula_sum 'K16 Ti8 Te32 Au8'
_space_group_name_H-M_alt 'F d d d'
_space_group_IT_number 70
_cell_length_a 6.3062
_cell_length_b 13.7481
_cell_length_c 26.6916
_cell_angle_alpha 90.00
_cell_angle_beta 90.00
_cell_angle_gamma 90.00
loop_
_space_group_symop_operation_xyz
'x,y,z'
'-x,-y,-z'
'-x+1/4,-y+1/4,z'
'x+1/4,y+1/4,-z'
'x,-y+1/4,-z+1/4'
'-x,y+1/4,z+1/4'
'-x+1/4,y,-z+1/4'
'x+1/4,-y,z+1/4'
'x,y+1/2,z+1/2'
'-x,-y+1/2,-z+1/2'
'-x+1/4,-y+3/4,z+1/2'
'x+1/4,y+3/4,-z+1/2'
'x,-y+3/4,-z+3/4'
'-x,y+3/4,z+3/4'
'-x+1/4,y+1/2,-z+3/4'
'x+1/4,-y+1/2,z+3/4'
'x+1/2,y,z+1/2'
'-x+1/2,-y,-z+1/2'
'-x+3/4,-y+1/4,z+1/2'
'x+3/4,y+1/4,-z+1/2'
'x+1/2,-y+1/4,-z+3/4'
'-x+1/2,y+1/4,z+3/4'
'-x+3/4,y,-z+3/4'
'x+3/4,-y,z+3/4'
'x+1/2,y+1/2,z'
'-x+1/2,-y+1/2,-z'
'-x+3/4,-y+3/4,z'
'x+3/4,y+3/4,-z'
'x+1/2,-y+3/4,-z+1/4'
'-x+1/2,y+3/4,z+1/4'
'-x+3/4,y+1/2,-z+1/4'
'x+3/4,-y+1/2,z+1/4'
loop_
_atom_site_label
_atom_site_fract_x
_atom_site_fract_y
_atom_site_fract_z
_atom_site_occupancy
K1 0.1250 0.1250 0.3080 1
Ti1 0.1250 0.1250 0.1250 1
Te1 0.1050 0.2653 0.4345 1
Au1 0.1250 0.1250 0.6250 1


# KTlTe2Au (PBE-GGA, optimized geometry)
# **D(E_F)**: 3.8 states/eV/cell
# **Raw formation energy**: -422 meV per atom
data_KTlTe2Au
_chemical_formula_sum 'K2 Tl2 Te4 Au2'
_space_group_name_H-M_alt 'P 1 2/c 1'
_space_group_IT_number 13
_space_group_name_Hall '-P 2yc'
_cell_length_a 7.4862
_cell_length_b 6.4138
_cell_length_c 8.1948
_cell_angle_alpha 90.00
_cell_angle_beta 108.34
_cell_angle_gamma 90.00
loop_
_atom_site_label
_atom_site_fract_x
_atom_site_fract_y
_atom_site_fract_z
_atom_site_occupancy
K1 0.0000 0.2232 0.2500 1
Tl1 0.5000 0.4892 0.2500 1
Te1 0.2216 0.2665 0.9215 1
Au1 0.5000 0.0000 0.0000 1


# KTmTe2Au (PBE-GGA, optimized geometry)
# **D(E_F)**: 5.2 states/eV/cell
# **Raw formation energy**: -850 meV per atom
data_KTmTe2Au
_chemical_formula_sum 'K2 Tm2 Te4 Au2'
_space_group_name_H-M_alt 'P 1 2/c 1'
_space_group_IT_number 13
_space_group_name_Hall '-P 2yc'
_cell_length_a 8.3953
_cell_length_b 4.7440
_cell_length_c 8.3929
_cell_angle_alpha 90.00
_cell_angle_beta 95.04
_cell_angle_gamma 90.00
loop_
_atom_site_label
_atom_site_fract_x
_atom_site_fract_y
_atom_site_fract_z
_atom_site_occupancy
K1 0.0000 0.0930 0.2500 1
Tm1 0.5000 0.4970 0.7500 1
Te1 0.2473 0.3764 0.9792 1
Au1 0.5000 0.0000 0.0000 1


# KTm2Te4Au (PBE-GGA, optimized geometry)
# **Raw formation energy**: -1084 meV per atom
data_KTm2Te4Au
_chemical_formula_sum 'K4 Tm8 Te16 Au4'
_space_group_name_H-M_alt 'C m c m'
_space_group_IT_number 63
_space_group_name_Hall '-C 2c 2'
_cell_length_a 4.3771
_cell_length_b 14.9506
_cell_length_c 15.6558
_cell_angle_alpha 90.00
_cell_angle_beta 90.00
_cell_angle_gamma 90.00
loop_
_atom_site_label
_atom_site_fract_x
_atom_site_fract_y
_atom_site_fract_z
_atom_site_occupancy
K1 0.0000 0.1335 0.2500 1
Tm1 0.0000 0.3711 0.0735 1
Te1 0.0000 0.0000 0.0000 1
Te2 0.0000 0.2653 0.6039 1
Te3 0.0000 0.4563 0.2500 1
Au1 0.0000 0.1566 0.7500 1


# K3U2Te6Au (PBE-GGA, optimized geometry)
# **D(E_F)**: 21.8 states/eV/cell
# **Raw formation energy**: -712 meV per atom
data_K3U2Te6Au
_chemical_formula_sum 'K6 U4 Te12 Au2'
_space_group_name_H-M_alt 'C 1 2/m 1'
_space_group_IT_number 12
_space_group_name_Hall '-C 2y'
_cell_length_a 7.7591
_cell_length_b 13.3835
_cell_length_c 8.6148
_cell_angle_alpha 90.00
_cell_angle_beta 107.40
_cell_angle_gamma 90.00
loop_
_atom_site_label
_atom_site_fract_x
_atom_site_fract_y
_atom_site_fract_z
_atom_site_occupancy
K1 0.0000 0.0000 0.0000 1
K2 0.0000 0.3363 0.0000 1
U1 0.0000 0.1672 0.5000 1
Te1 0.2310 0.0000 0.7053 1
Te2 0.2369 0.3322 0.7057 1
Au1 0.0000 0.5000 0.5000 1


# KUTe2Au (PBE-GGA, optimized geometry)
# **D(E_F)**: 16.4 states/eV/cell
# **Raw formation energy**: -500 meV per atom
data_KUTe2Au
_chemical_formula_sum 'K4 U4 Te8 Au4'
_space_group_name_H-M_alt 'C m m e'
_space_group_IT_number 67
_space_group_name_Hall '-C 2a 2'
_cell_length_a 6.2048
_cell_length_b 17.1366
_cell_length_c 5.9831
_cell_angle_alpha 90.00
_cell_angle_beta 90.00
_cell_angle_gamma 90.00
loop_
_atom_site_label
_atom_site_fract_x
_atom_site_fract_y
_atom_site_fract_z
_atom_site_occupancy
K1 0.0000 0.2500 0.2363 1
U1 0.2500 0.0000 0.5000 1
Te1 0.0000 0.1318 0.7451 1
Au1 0.0000 0.0000 0.0000 1


# K2UTe4Au (PBE-GGA, optimized geometry)
# **D(E_F)**: 14.6 states/eV/cell
# **Raw formation energy**: -558 meV per atom
data_K2UTe4Au
_chemical_formula_sum 'K4 U2 Te8 Au2'
_space_group_name_H-M_alt 'I -4 2 m'
_space_group_IT_number 121
_space_group_name_Hall 'I -4 2'
_cell_length_a 8.5534
_cell_length_b 8.5534
_cell_length_c 7.3367
_cell_angle_alpha 90.00
_cell_angle_beta 90.00
_cell_angle_gamma 90.00
loop_
_atom_site_label
_atom_site_fract_x
_atom_site_fract_y
_atom_site_fract_z
_atom_site_occupancy
K1 0.0000 0.5000 0.0000 1
U1 0.0000 0.0000 0.0000 1
Te1 0.1822 0.1822 0.7378 1
Au1 0.0000 0.0000 0.5000 1